1.
Below is an optimized crystal structure of Ac6CoPt2Rh, with properties calculated at the PBE level.

**Energy of formation from the pure elements**: -0.620 eV per atom

The structure in CIF format:
```
data_Ac6CoPt2Rh
_space_group_name_H-M_alt 'P 1'
_space_group_IT_number 1
_space_group_name_Hall 'P 1'
_cell_length_a 7.514
_cell_length_b 7.515
_cell_length_c 8.190
_cell_angle_alpha 62.71
_cell_angle_beta 62.71
_cell_angle_gamma 60.10
loop_
_atom_site_label
_atom_site_fract_x
_atom_site_fract_y
_atom_site_fract_z
Ac1 0.000 0.000 0.000
Ac2 0.135 0.861 0.495
Ac3 0.296 0.355 0.000
Ac4 0.504 0.160 0.495
Ac5 0.645 0.651 0.000
Ac6 0.804 0.492 0.495
Co1 0.902 0.258 0.233
Pt1 0.224 0.579 0.270
Pt2 0.721 0.078 0.776
Rh1 0.403 0.759 0.731
```



2.
Below is an optimized crystal structure of YMgRe2, with properties calculated at the PBE level.

**Energy of formation from the pure elements**: 0.437 eV per atom

The structure in CIF format:
```
data_YMgRe2
_space_group_name_H-M_alt 'P 1 2/m 1'
_space_group_IT_number 10
_space_group_name_Hall '-P 2y'
_cell_length_a 2.763
_cell_length_b 4.669
_cell_length_c 5.911
_cell_angle_alpha 90.00
_cell_angle_beta 101.64
_cell_angle_gamma 90.00
loop_
_atom_site_label
_atom_site_fract_x
_atom_site_fract_y
_atom_site_fract_z
Y1 0.000 0.000 0.000
Mg1 0.500 0.000 0.500
Re1 0.209 0.500 0.706
```



3.
Below is an optimized crystal structure of CaYCr2, with properties calculated at the PBE level.

**Energy of formation from the pure elements**: 0.573 eV per atom

The structure in CIF format:
```
data_CaYCr2
_space_group_name_H-M_alt 'P 4/m m m'
_space_group_IT_number 123
_space_group_name_Hall '-P 4 2'
_cell_length_a 3.593
_cell_length_b 3.593
_cell_length_c 7.585
_cell_angle_alpha 90.00
_cell_angle_beta 90.00
_cell_angle_gamma 90.00
loop_
_atom_site_label
_atom_site_fract_x
_atom_site_fract_y
_atom_site_fract_z
Ca1 0.000 0.000 0.000
Y1 0.000 0.000 0.500
Cr1 0.500 0.500 0.267
```



4.
Below is an optimized crystal structure of GaHgN2, with properties calculated at the PBE level.

**Formation energy from raw total energies**: 1.70 eV per atom
**Offset from the most stable computed form**: 1102 meV/atom

The structure in CIF format:
```
data_GaHgN2
_space_group_name_H-M_alt 'F m -3 m'
_space_group_IT_number 225
_space_group_name_Hall '-F 4 2 3'
_cell_length_a 5.866
_cell_length_b 5.866
_cell_length_c 5.866
_cell_angle_alpha 90.00
_cell_angle_beta 90.00
_cell_angle_gamma 90.00
loop_
_atom_site_label
_atom_site_fract_x
_atom_site_fract_y
_atom_site_fract_z
Ga1 0.000 0.000 0.000
Hg1 0.000 0.000 0.500
N1 0.250 0.250 0.250
```



5.
Below is an optimized crystal structure of LaPbAu3, with properties calculated at the PBE level.

**Energy of formation from the pure elements**: 0.278 eV per atom
**Offset from the most stable computed form**: 809 meV/atom

The structure in CIF format:
```
data_LaPbAu3
_space_group_name_H-M_alt 'P m -3 m'
_space_group_IT_number 221
_space_group_name_Hall '-P 4 2 3'
_cell_length_a 5.568
_cell_length_b 5.568
_cell_length_c 5.568
_cell_angle_alpha 90.00
_cell_angle_beta 90.00
_cell_angle_gamma 90.00
loop_
_atom_site_label
_atom_site_fract_x
_atom_site_fract_y
_atom_site_fract_z
La1 0.000 0.000 0.000
Pb1 0.500 0.500 0.500
Au1 0.000 0.000 0.500
```



6.
Below is an optimized crystal structure of Ho2Mg3Sc2, with properties calculated at the PBE level.

**Energy of formation from the pure elements**: 0.041 eV per atom

The structure in CIF format:
```
data_Ho2Mg3Sc2
_space_group_name_H-M_alt 'P -1'
_space_group_IT_number 2
_space_group_name_Hall '-P 1'
_cell_length_a 3.383
_cell_length_b 7.697
_cell_length_c 8.202
_cell_angle_alpha 62.72
_cell_angle_beta 78.63
_cell_angle_gamma 77.66
loop_
_atom_site_label
_atom_site_fract_x
_atom_site_fract_y
_atom_site_fract_z
Ho1 0.138 0.047 0.177
Mg1 0.186 0.380 0.724
Mg2 0.500 0.500 0.000
Sc1 0.434 0.220 0.433
```



7.
Below is an optimized crystal structure of MgBeCr2Ga, with properties calculated at the PBE level.

**Energy of formation from the pure elements**: 1.476 eV per atom

The structure in CIF format:
```
data_MgBeCr2Ga
_space_group_name_H-M_alt 'P 4/m m m'
_space_group_IT_number 123
_space_group_name_Hall '-P 4 2'
_cell_length_a 4.888
_cell_length_b 4.888
_cell_length_c 4.357
_cell_angle_alpha 90.00
_cell_angle_beta 90.00
_cell_angle_gamma 90.00
loop_
_atom_site_label
_atom_site_fract_x
_atom_site_fract_y
_atom_site_fract_z
Mg1 0.000 0.000 0.000
Be1 0.000 0.000 0.500
Cr1 0.000 0.500 0.000
Ga1 0.500 0.500 0.500
```



8.
Below is an optimized crystal structure of ZnOsI2N, with properties calculated at the PBE level.

**Formation energy from raw total energies**: 0.48 eV per atom
**Offset from the most stable computed form**: 0 meV/atom

The structure in CIF format:
```
data_ZnOsI2N
_space_group_name_H-M_alt 'P 4/m m m'
_space_group_IT_number 123
_space_group_name_Hall '-P 4 2'
_cell_length_a 5.601
_cell_length_b 5.601
_cell_length_c 3.744
_cell_angle_alpha 90.00
_cell_angle_beta 90.00
_cell_angle_gamma 90.00
loop_
_atom_site_label
_atom_site_fract_x
_atom_site_fract_y
_atom_site_fract_z
Zn1 0.000 0.000 0.000
Os1 0.500 0.500 0.500
I1 0.000 0.500 0.500
N1 0.500 0.500 0.000
```